(1)
Pu8CuIr5 | PBE | optimized geometry

Structure (POSCAR):
```
Pu8CuIr5
1.0
-4.2641 4.2641 4.2585
4.2641 -4.2641 4.2585
4.2641 4.2641 -4.2585
Pu Cu Ir
8 1 5
Cartesian
3.6597 2.7123 -1.6372 Pu
5.7339 0.6178 0.4842 Pu
0.6178 2.7943 -0.4842 Pu
0.6044 1.5518 2.6213 Pu
3.6463 1.4698 3.7742 Pu
1.5518 -0.6044 5.8956 Pu
2.7123 4.8685 1.6372 Pu
-1.4698 3.6463 4.7427 Pu
0.0000 0.0000 0.0000 Cu
2.1379 -1.1658 3.1774 Ir
3.0983 2.1262 1.0811 Ir
2.1262 5.4299 -1.0811 Ir
0.0000 4.2641 2.1292 Ir
1.1658 2.1379 5.3395 Ir
```

The calculation puts the calculated formation energy at -0.2986 eV/atom. As for the space-group type: No. 82. For the total DFT energy (no corrections), the calculation gives -167.2 eV for the cell shown. The density of states at the Fermi level comes out at 65.4 states/eV/f.u.



(2)
Pu4CuIr2 | PBE | optimized geometry

Structure (POSCAR):
```
Pu4CuIr2
1.0
2.3224 1.3408 6.8097
-2.3224 1.3408 6.8097
0.0000 -2.6817 6.8097
Pu Cu Ir
4 1 2
Cartesian
0.0000 0.0000 2.2648 Pu
0.0000 0.0000 4.9010 Pu
0.0000 0.0000 15.5281 Pu
0.0000 0.0000 18.1644 Pu
0.0000 0.0000 10.2146 Cu
0.0000 0.0000 7.5990 Ir
0.0000 0.0000 12.8301 Ir
```

The calculation puts the calculated formation energy at -0.0755 eV/atom. As for the space-group type: No. 166. For the total DFT energy (no corrections), the calculation gives -79.7 eV for the cell shown. The density of states at the Fermi level comes out at 17.0 states/eV/f.u.



(3)
Pu2CuIr3 | PBE | optimized geometry

Structure (POSCAR):
```
Pu2CuIr3
1.0
2.7211 1.5710 4.1267
-2.7211 1.5710 4.1267
0.0000 -3.1420 4.1267
Pu Cu Ir
2 1 3
Cartesian
0.0000 0.0000 1.5315 Pu
0.0000 0.0000 10.8486 Pu
0.0000 0.0000 6.1901 Cu
-1.3605 -0.7855 4.1267 Ir
-1.3605 0.7855 8.2534 Ir
0.0000 1.5710 4.1267 Ir
```

The calculation puts the calculated formation energy at -0.4695 eV/atom. As for the space-group type: No. 166. For the total DFT energy (no corrections), the calculation gives -62.2 eV for the cell shown. The density of states at the Fermi level comes out at 16.5 states/eV/f.u.



(4)
PuCu4Ir | PBE | optimized geometry

Structure (POSCAR):
```
PuCu4Ir
1.0
0.0000 3.5261 3.5261
3.5261 0.0000 3.5261
3.5261 3.5261 0.0000
Pu Cu Ir
1 4 1
Cartesian
0.0000 0.0000 0.0000 Pu
2.6515 2.6515 2.6515 Cu
4.4007 4.4007 2.6515 Cu
4.4007 2.6515 4.4007 Cu
2.6515 4.4007 4.4007 Cu
5.2891 5.2891 5.2891 Ir
```

The calculation puts the calculated formation energy at -0.0554 eV/atom. As for the space-group type: No. 216. For the total DFT energy (no corrections), the calculation gives -39.9 eV for the cell shown. The density of states at the Fermi level comes out at 12.2 states/eV/f.u.